VASP calculation (PBE) on a relaxed structure of CsK2Bi2.

* E_tot: -2.46 eV per atom
* relative energy among the computed polymorphs: 0 meV per atom
* SG: C2/m, No. 12
* DFT formation energy: -297 meV/atom
* D(E_F): 0.384 states/eV/atom

Structure (POSCAR):
```
CsK2Bi2
1.0
6.9856 -2.6853 0.0000
6.9856 2.6853 0.0000
-0.1131 0.0000 7.0620
Cs K Bi
1 2 2
Direct
0.0000 0.0000 0.0000
0.3436 0.3436 0.3835
0.6564 0.6564 0.6165
0.2815 0.2815 0.8919
0.7185 0.7185 0.1081
```